NiTePt2 | GGA-PBEsol | relaxed

Calculated values
As for the spin magnetization: 0.00 μB/f.u. The value obtained for the total energy is -5.82 eV/atom. Its space group is F-43m.

a b c (Å): 4.4626 4.4626 4.4626
angles (deg): 60.00 60.00 60.00
Atoms (fractional coordinates):
Ni1 0.0000 0.0000 0.0000
Te1 0.7500 0.7500 0.7500
Pt1 0.2500 0.2500 0.2500
Pt2 0.5000 0.5000 0.5000

NiTe2Pt | GGA-PBEsol | relaxed

Calculated values
As for the spin magnetization: 0.00 μB/f.u. The value obtained for the total energy is -5.28 eV/atom. Its space group is R3m.

a b c (Å): 6.7681 6.7681 6.7681
angles (deg): 33.27 33.27 33.27
Atoms (fractional coordinates):
Ni1 0.0000 0.0000 0.0000
Te1 0.2782 0.2782 0.2782
Te2 0.4695 0.4695 0.4695
Pt1 0.7332 0.7332 0.7332

NiTePt2 | GGA-PBEsol | relaxed

Calculated values
As for the spin magnetization: 0.00 μB/f.u. The value obtained for the total energy is -5.87 eV/atom. Its space group is I4/mmm.

a b c (Å): 4.9337 4.9337 4.9337
angles (deg): 133.45 133.45 67.95
Atoms (fractional coordinates):
Ni1 0.0000 0.0000 0.0000
Te1 0.5000 0.5000 0.0000
Pt1 0.2500 0.7500 0.5000
Pt2 0.7500 0.2500 0.5000

Ni3TePt | GGA-PBEsol | relaxed

Calculated values
As for the spin magnetization: 2.96 μB/f.u. The value obtained for the total energy is -4.79 eV/atom. Its space group is Pm-3m.

a b c (Å): 4.5390 4.5390 4.5390
angles (deg): 90.00 90.00 90.00
Atoms (fractional coordinates):
Ni1 0.0000 0.0000 0.5000
Ni2 0.0000 0.5000 0.0000
Ni3 0.5000 0.0000 0.0000
Te1 0.5000 0.5000 0.5000
Pt1 0.0000 0.0000 0.0000

Ni2TePt | GGA-PBEsol | relaxed

Calculated values
As for the spin magnetization: 0.00 μB/f.u. The value obtained for the total energy is -5.60 eV/atom. Its space group is R3m.

a b c (Å): 5.1434 5.1434 5.1434
angles (deg): 44.46 44.46 44.46
Atoms (fractional coordinates):
Ni1 0.0000 0.0000 0.0000
Ni2 0.2901 0.2901 0.2901
Te1 0.5277 0.5277 0.5277
Pt1 0.7466 0.7466 0.7466

NiTePt2 | GGA-PBEsol | relaxed

Calculated values
As for the spin magnetization: 0.00 μB/f.u. The value obtained for the total energy is -5.84 eV/atom. Its space group is Cm.

a b c (Å): 4.4002 4.4002 4.6884
angles (deg): 106.80 106.80 48.28
Atoms (fractional coordinates):
Ni1 0.0000 0.0000 0.0000
Te1 0.7469 0.7469 0.2253
Pt1 0.2572 0.2572 0.7889
Pt2 0.5019 0.5019 0.5065

NiTe2Pt | GGA-PBEsol | relaxed

Calculated values
As for the spin magnetization: 0.11 μB/f.u. The value obtained for the total energy is -4.89 eV/atom. Its space group is R-3m.

a b c (Å): 7.8727 7.8727 7.8727
angles (deg): 28.94 28.94 28.94
Atoms (fractional coordinates):
Ni1 0.0000 0.0000 0.0000
Te1 0.1043 0.1043 0.1043
Te2 0.8957 0.8957 0.8957
Pt1 0.5000 0.5000 0.5000

NiTe2Pt | GGA-PBEsol | relaxed

Calculated values
As for the spin magnetization: 0.00 μB/f.u. The value obtained for the total energy is -4.86 eV/atom. Its space group is Cmmm.

a b c (Å): 4.6235 4.6235 3.4773
angles (deg): 90.00 90.00 95.36
Atoms (fractional coordinates):
Ni1 0.0000 0.0000 0.0000
Te1 0.0000 0.5000 0.5000
Te2 0.5000 0.0000 0.5000
Pt1 0.5000 0.5000 0.0000

Ti11Ni9Pt4 | GGA-PBEsol | relaxed

Calculated values
As for the spin magnetization: 0.00 μB/f.u. The value obtained for the total energy is -7.90 eV/atom. The energy of formation comes out at -612 meV per atom. Its space group is C2/c.

a b c (Å): 7.3820 7.3820 14.0827
angles (deg): 95.24 95.24 120.13
Atoms (fractional coordinates):
Ti1 0.0000 0.5000 0.5000
Ti2 0.0834 0.9166 0.7500
Ti3 0.1172 0.2831 0.6485
Ti4 0.1669 0.6186 0.8622
Ti5 0.1749 0.3350 0.0004
Ti6 0.2525 0.7475 0.2500
Ti7 0.2831 0.1172 0.1485
Ti8 0.3350 0.1749 0.5004
Ti9 0.3676 0.4474 0.3411
Ti10 0.3814 0.8331 0.6378
Ti11 0.4474 0.3676 0.8411
Ti12 0.5000 0.0000 0.0000
Ti13 0.5526 0.6324 0.1589
Ti14 0.6186 0.1669 0.3622
Ti15 0.6324 0.5526 0.6589
Ti16 0.6650 0.8251 0.4996
Ti17 0.7169 0.8828 0.8515
Ti18 0.7475 0.2525 0.7500
Ti19 0.8251 0.6650 0.9996
Ti20 0.8331 0.3814 0.1378
Ti21 0.8828 0.7169 0.3515
Ti22 0.9166 0.0834 0.2500
Ni1 0.0055 0.4395 0.3239
Ni2 0.0421 0.2139 0.8237
Ni3 0.1621 0.3880 0.1748
Ni4 0.2139 0.0421 0.3237
Ni5 0.3393 0.5098 0.5204
Ni6 0.3797 0.6203 0.7500
Ni7 0.3880 0.1621 0.6748
Ni8 0.4395 0.0055 0.8239
Ni9 0.4902 0.6607 0.9796
Ni10 0.5098 0.3393 0.0204
Ni11 0.5605 0.9945 0.1761
Ni12 0.6120 0.8379 0.3252
Ni13 0.6203 0.3797 0.2500
Ni14 0.6607 0.4902 0.4796
Ni15 0.7861 0.9579 0.6763
Ni16 0.8379 0.6120 0.8252
Ni17 0.9579 0.7861 0.1763
Ni18 0.9945 0.5605 0.6761
Pt1 0.0230 0.8556 0.5619
Pt2 0.1444 0.9770 0.9381
Pt3 0.1845 0.6878 0.0628
Pt4 0.3122 0.8155 0.4372
Pt5 0.6878 0.1845 0.5628
Pt6 0.8155 0.3122 0.9372
Pt7 0.8556 0.0230 0.0619
Pt8 0.9770 0.1444 0.4381

Ti2Ni2Pt | GGA-PBEsol | relaxed

Calculated values
As for the spin magnetization: 0.00 μB/f.u. The value obtained for the total energy is -7.83 eV/atom. The energy of formation comes out at -649 meV per atom. Its space group is P4/mbm.

a b c (Å): 6.7548 6.7548 2.8826
angles (deg): 90.00 90.00 90.00
Atoms (fractional coordinates):
Ti1 0.1747 0.3253 0.0000
Ti2 0.3253 0.8253 0.0000
Ti3 0.6747 0.1747 0.0000
Ti4 0.8253 0.6747 0.0000
Ni1 0.1257 0.6257 0.5000
Ni2 0.3743 0.1257 0.5000
Ni3 0.6257 0.8743 0.5000
Ni4 0.8743 0.3743 0.5000
Pt1 0.0000 0.0000 0.5000
Pt2 0.5000 0.5000 0.5000

Ni4PtW | GGA-PBEsol | relaxed

Calculated values
As for the spin magnetization: 0.00 μB/f.u. The value obtained for the total energy is -7.72 eV/atom. The energy of formation comes out at -157 meV per atom. Its space group is F-43m.

a b c (Å): 4.6279 4.6279 4.6279
angles (deg): 60.00 60.00 60.00
Atoms (fractional coordinates):
Ni1 0.1247 0.1247 0.1247
Ni2 0.1247 0.1247 0.6259
Ni3 0.1247 0.6259 0.1247
Ni4 0.6259 0.1247 0.1247
Pt1 0.5000 0.5000 0.5000
W1 0.7500 0.7500 0.7500

Ni2PtW | GGA-PBEsol | relaxed

Calculated values
As for the spin magnetization: 0.00 μB/f.u. The value obtained for the total energy is -8.27 eV/atom. The energy of formation comes out at -2 meV per atom. Its space group is P4/mmm.

a b c (Å): 3.8259 3.8259 3.4920
angles (deg): 90.00 90.00 90.00
Atoms (fractional coordinates):
Ni1 0.0000 0.5000 0.0000
Ni2 0.5000 0.0000 0.0000
Pt1 0.0000 0.0000 0.5000
W1 0.5000 0.5000 0.5000

NiPt2W | GGA-PBEsol | relaxed

Calculated values
As for the spin magnetization: 0.00 μB/f.u. The value obtained for the total energy is -8.72 eV/atom. The energy of formation comes out at -248 meV per atom. Its space group is Pmmm.

a b c (Å): 2.7213 3.8506 5.3255
angles (deg): 90.00 90.00 90.00
Atoms (fractional coordinates):
Ni1 0.0000 0.0000 0.0000
Pt1 0.5000 0.5000 0.2464
Pt2 0.5000 0.5000 0.7536
W1 0.0000 0.0000 0.5000

Ni2PtW | GGA-PBEsol | relaxed

Calculated values
As for the spin magnetization: 0.00 μB/f.u. The value obtained for the total energy is -8.38 eV/atom. The energy of formation comes out at -110 meV per atom. Its space group is Cm.

a b c (Å): 4.5891 4.5891 4.4532
angles (deg): 100.56 100.56 33.88
Atoms (fractional coordinates):
Ni1 0.0000 0.0000 0.0000
Ni2 0.7438 0.7438 0.2374
Pt1 0.2494 0.2494 0.7442
W1 0.4935 0.4935 0.4811

Ni2PtW | GGA-PBEsol | relaxed

Calculated values
As for the spin magnetization: 0.00 μB/f.u. The value obtained for the total energy is -8.34 eV/atom. The energy of formation comes out at -64 meV per atom. Its space group is Fm-3m.

a b c (Å): 4.1541 4.1541 4.1541
angles (deg): 60.00 60.00 60.00
Atoms (fractional coordinates):
Ni1 0.2500 0.2500 0.2500
Ni2 0.7500 0.7500 0.7500
Pt1 0.0000 0.0000 0.0000
W1 0.5000 0.5000 0.5000

NiPt2W | GGA-PBEsol | relaxed

Calculated values
As for the spin magnetization: 0.01 μB/f.u. The value obtained for the total energy is -8.68 eV/atom. The energy of formation comes out at -209 meV per atom. Its space group is P4/mmm.

a b c (Å): 2.7203 2.7203 7.5434
angles (deg): 90.00 90.00 90.00
Atoms (fractional coordinates):
Ni1 0.0000 0.0000 0.0000
Pt1 0.5000 0.5000 0.2417
Pt2 0.5000 0.5000 0.7583
W1 0.0000 0.0000 0.5000

Ni2PtW | GGA-PBEsol | relaxed

Calculated values
As for the spin magnetization: 0.00 μB/f.u. The value obtained for the total energy is -8.42 eV/atom. The energy of formation comes out at -148 meV per atom. Its space group is I4/mmm.

a b c (Å): 4.5118 4.5118 4.5118
angles (deg): 131.08 131.08 71.68
Atoms (fractional coordinates):
Ni1 0.2500 0.7500 0.5000
Ni2 0.7500 0.2500 0.5000
Pt1 0.0000 0.0000 0.0000
W1 0.5000 0.5000 0.0000

Ni3PtW | GGA-PBEsol | relaxed

Calculated values
As for the spin magnetization: 0.00 μB/f.u. The value obtained for the total energy is -6.24 eV/atom. The energy of formation comes out at 1613 meV per atom. Its space group is Pm-3m.

a b c (Å): 4.3512 4.3512 4.3512
angles (deg): 90.00 90.00 90.00
Atoms (fractional coordinates):
Ni1 0.0000 0.0000 0.5000
Ni2 0.0000 0.5000 0.0000
Ni3 0.5000 0.0000 0.0000
Pt1 0.5000 0.5000 0.5000
W1 0.0000 0.0000 0.0000

Ni2PtW | GGA-PBEsol | relaxed

Calculated values
As for the spin magnetization: 0.00 μB/f.u. The value obtained for the total energy is -8.41 eV/atom. The energy of formation comes out at -141 meV per atom. Its space group is Pmm2.

a b c (Å): 2.6788 3.7198 5.1632
angles (deg): 90.00 90.00 90.00
Atoms (fractional coordinates):
Ni1 0.0000 0.0000 0.0000
Ni2 0.5000 0.5000 0.2246
Pt1 0.0000 0.0000 0.4883
W1 0.5000 0.5000 0.7608

NiPt2W | GGA-PBEsol | relaxed

Calculated values
As for the spin magnetization: 0.00 μB/f.u. The value obtained for the total energy is -8.66 eV/atom. The energy of formation comes out at -186 meV per atom. Its space group is Pmm2.

a b c (Å): 2.7287 3.8081 5.3978
angles (deg): 90.00 90.00 90.00
Atoms (fractional coordinates):
Ni1 0.0000 0.0000 0.0000
Pt1 0.0000 0.0000 0.5192
Pt2 0.5000 0.5000 0.2369
W1 0.5000 0.5000 0.7673